Below is crystalline SiH2O at its relaxed geometry, with properties calculated at the PBE level.

Structure (CIF):
```
data_SiH2O
_chemical_formula_sum 'Si1 H2 O1'
_symmetry_space_group_name_H-M 'P 1'
_symmetry_Int_Tables_number 1
_cell_length_a 2.991
_cell_length_b 2.991
_cell_length_c 5.220
_cell_angle_alpha 93.86
_cell_angle_beta 93.86
_cell_angle_gamma 74.18
loop_
_symmetry_equiv_pos_as_xyz
'x,y,z'
loop_
_atom_site_label
_atom_site_fract_x
_atom_site_fract_y
_atom_site_fract_z
Si1 0.000 0.000 0.000
H1 0.131 0.131 0.594
H2 0.631 0.631 0.049
O1 0.953 0.953 0.676
```

Properties
ΔE to the lowest computed polymorph: 539 meV/atom
size of the total moment: 0.000 μB per formula unit
space group: No. 8
volume: 44.8 Å³ per cell
ρ: 1.71 g/cm³